4
Lattice="3.0589 0.0000 0.0000 1.5294 2.6491 0.0000 1.5294 0.8830 4.9289" Properties=species:S:1:pos:R:3 comment="GeBN2 | the Alexandria database | meta-GGA SCAN | single point on PBEsol structure" formation_energy_uncorrected_mev_per_atom=-36.5 e_above_lowest_polymorph_mev_per_atom=0.0 pbc="T T T"
Ge 3.0589 1.7660 2.4644
B 0.0000 0.0000 0.0000
N 4.5883 2.6491 1.3673
N 1.5294 0.8830 3.5615